Arrangement P

## CaTi3Te (PBE)

Data for an optimized crystal structure of CaTi3Te.

Output
Density of states at the Fermi level in states/eV/atom: 1.753
Total magnetic moment in μB per formula unit: 2.66

Cell lengths 4.826, 4.826, 4.826 Å; angles 90.00, 90.00, 90.00 degrees
Last column: magnetic moment on the atom in μB.
Sites, in units of the cell vectors:
Ti1 0.000 0.500 0.000  0.65
Ti2 0.500 0.000 0.000  0.71
Ca1 0.000 0.000 0.000  0.14
Te1 0.500 0.500 0.500  -0.03
Ti3 0.000 0.000 0.500  0.60

Arrangement Q

## CaTi3Te (PBE)

Data for an optimized crystal structure of CaTi3Te.

Output
Density of states at the Fermi level in states/eV/atom: 1.123
Total magnetic moment in μB per formula unit: 0.00

Cell lengths 5.096, 5.096, 5.096 Å; angles 90.00, 90.00, 90.00 degrees
Sites, in units of the cell vectors:
Te1 0.000 0.000 0.000
Ti1 0.000 0.500 0.000
Ti2 0.500 0.000 0.000
Ti3 0.000 0.000 0.500
Ca1 0.500 0.500 0.500

Stability verdict: arrangement Q, ahead by 1016 meV per atom

Arrangement P

## Ca2Tl2Te (PBE)

Data for an optimized crystal structure of Ca2Tl2Te.

Output
Density of states at the Fermi level in states/eV/atom: 0.712
Total magnetic moment in μB per formula unit: 0.00

Cell lengths 8.592, 8.592, 4.204 Å; angles 90.00, 90.00, 90.00 degrees
Sites, in units of the cell vectors:
Te1 0.000 0.000 0.000
Tl1 0.872 0.628 0.000
Tl2 0.128 0.372 0.000
Tl3 0.628 0.128 0.000
Tl4 0.372 0.872 0.000
Ca1 0.325 0.175 0.500
Te2 0.500 0.500 0.000
Ca2 0.675 0.825 0.500
Ca3 0.825 0.325 0.500
Ca4 0.175 0.675 0.500

Arrangement Q

## Ca2Tl2Te (PBE)

Data for an optimized crystal structure of Ca2Tl2Te.

Output
Density of states at the Fermi level in states/eV/atom: 0.763
Total magnetic moment in μB per formula unit: 0.00

Cell lengths 5.336, 5.336, 7.229 Å; angles 68.34, 68.34, 90.00 degrees
Sites, in units of the cell vectors:
Ca1 0.750 0.250 0.500
Ca2 0.250 0.750 0.500
Tl1 0.389 0.389 0.222
Tl2 0.611 0.611 0.778
Te1 0.000 0.000 0.000

Arrangement R

## Ca2Tl2Te (PBE)

Data for an optimized crystal structure of Ca2Tl2Te.

Output
Density of states at the Fermi level in states/eV/atom: 1.057
Total magnetic moment in μB per formula unit: 0.00

Cell lengths 8.193, 8.193, 5.010 Å; angles 90.00, 90.00, 90.00 degrees
Sites, in units of the cell vectors:
Ca1 0.331 0.831 0.000
Te1 0.500 0.500 0.000
Tl1 0.863 0.363 0.500
Ca2 0.831 0.669 0.000
Tl2 0.137 0.637 0.500
Tl3 0.637 0.863 0.500
Ca3 0.669 0.169 0.000
Tl4 0.363 0.137 0.500
Ca4 0.169 0.331 0.000
Te2 0.000 0.000 0.000

Stability verdict: arrangement R, ahead by 54 meV per atom